--- a ---
A plane-wave DFT calculation with PBE was carried out for a geometry-optimized Ac5Tl2Ir structure.

Cell: 9.1162 13.1195 4.9276 Å, 90.00 90.00 90.00°
Atoms (fractional coordinates):
Ac 0.0000 0.0000 0.0000
Ac 0.1397 0.2998 0.0000
Ac 0.1786 0.5694 0.5000
Ac 0.3214 0.0694 0.5000
Ac 0.3603 0.7998 0.0000
Ac 0.5000 0.5000 0.0000
Ac 0.6397 0.2002 0.0000
Ac 0.6786 0.9306 0.5000
Ac 0.8214 0.4306 0.5000
Ac 0.8603 0.7002 0.0000
Tl 0.0745 0.8291 0.5000
Tl 0.4255 0.3291 0.5000
Tl 0.5745 0.6709 0.5000
Tl 0.9255 0.1709 0.5000
Ir 0.0000 0.5000 0.0000
Ir 0.5000 0.0000 0.0000

* Fermi-level density of states: 1.141 states/eV per atom
* space group: Pbam
* total magnetic moment: 0.0 μB/f.u.
* density: 9.783 g/cm³



--- b ---
A plane-wave DFT calculation with PBE was carried out for a geometry-optimized Ac5Tl2Ir structure.

Cell: 6.7861 6.7861 16.6476 Å, 90.00 90.00 125.81°
Atoms (fractional coordinates):
Ac 0.0918 0.9082 0.6164
Ac 0.0918 0.9082 0.8836
Ac 0.2506 0.7494 0.2500
Ac 0.4075 0.5925 0.6166
Ac 0.4075 0.5925 0.8834
Ac 0.5925 0.4075 0.1166
Ac 0.5925 0.4075 0.3834
Ac 0.7494 0.2506 0.7500
Ac 0.9082 0.0918 0.1164
Ac 0.9082 0.0918 0.3836
Tl 0.2499 0.7501 0.0515
Tl 0.2499 0.7501 0.4485
Tl 0.7501 0.2499 0.5515
Tl 0.7501 0.2499 0.9485
Ir 0.2495 0.7505 0.7500
Ir 0.7505 0.2495 0.2500

* Fermi-level density of states: 0.911 states/eV per atom
* space group: Cmcm
* total magnetic moment: 0.0 μB/f.u.
* density: 9.274 g/cm³



Of them, the most stable is a and the least stable is b.